No. 1
BaScGa2: optimized geometry, PBE.

Values from the calculation:
Its magnetization is 0.000 μB/f.u. Its energy relative to the elements is -0.42 eV/atom. For the total energy, the calculation gives -4.002 eV per atom. As for the energy above the lowest structure with this stoichiometry: 0 meV/atom.

Cell: 3.651 3.651 7.628 Å, 90.00 90.00 90.00°
Space group P4/mmm (No. 123)
One atom of each set of equivalent atoms:
1 Ba 0.000 0.000 0.000 x1
2 Sc 0.000 0.000 0.500 x1
3 Ga 0.500 0.500 0.314 x2


No. 2
NpCuAu4: optimized geometry, PBE.

Values from the calculation:
Its magnetization is 4.489 μB/f.u. Its energy relative to the elements is 0.04 eV/atom. For the total energy, the calculation gives -4.985 eV per atom.

Cell: 7.834 7.834 7.834 Å, 90.00 90.00 90.00°
Space group F-43m (No. 216)
One atom of each set of equivalent atoms:
1 Np 0.000 0.000 0.000 x4
2 Cu 0.250 0.250 0.250 x4
3 Au 0.124 0.124 0.624 x16


No. 3
NaZnBi: optimized geometry, PBE.

Values from the calculation:
Its magnetization is 0.000 μB/f.u. Its energy relative to the elements is -0.13 eV/atom. For the total energy, the calculation gives -2.289 eV per atom.

Cell: 4.6676 4.6676 4.8728 Å, 90.00 90.00 120.00°
Space group P3m1 (No. 156)
One atom of each set of equivalent atoms:
1 Na 0.0000 0.0000 0.0000 x1
2 Zn 0.6667 0.3333 0.5468 x1
3 Bi 0.3333 0.6667 0.4941 x1


No. 4
BiPdPtO6: optimized geometry, PBE.

Values from the calculation:
Its magnetization is 0.000 μB/f.u. For the total energy, the calculation gives -5.611 eV per atom. Its energy relative to the elements, uncorrected is -0.6257 eV per atom.

Cell: 5.3027 5.3027 9.6190 Å, 90.00 90.00 120.00°
Space group P-31c (No. 163)
One atom of each set of equivalent atoms:
1 Bi 0.0000 0.0000 0.0000 x2
2 Pd 0.3333 0.6667 0.2500 x2
3 Pt 0.3333 0.6667 0.7500 x2
4 O 0.0017 0.3661 0.6352 x12


No. 5
Tc2RuCl2: optimized geometry, PBE.

Values from the calculation:
Its magnetization is 0.000 μB/f.u. For the total energy, the calculation gives -5.675 eV per atom. Its energy relative to the elements, uncorrected is 1.0655 eV per atom. As for the energy above the lowest structure with this stoichiometry: 0 meV/atom.

Cell: 7.216 7.216 2.817 Å, 90.00 90.00 90.00°
Space group P4/mbm (No. 127)
One atom of each set of equivalent atoms:
1 Tc 0.173 0.327 0.000 x4
2 Ru 0.000 0.000 0.500 x2
3 Cl 0.137 0.637 0.500 x4


No. 6
CeScZnAg: optimized geometry, PBE.

Values from the calculation:
Its magnetization is 0.851 μB/f.u. Its energy relative to the elements is -0.16 eV/atom. For the total energy, the calculation gives -4.262 eV per atom.

Cell: 7.121 7.121 7.121 Å, 90.00 90.00 90.00°
Space group F-43m (No. 216)
One atom of each set of equivalent atoms:
1 Ce 0.000 0.000 0.000 x4
2 Sc 0.000 0.000 0.500 x4
3 Zn 0.250 0.250 0.750 x4
4 Ag 0.250 0.250 0.250 x4


Q: Which D(E_F) values were calculated for the entries above? A: 0.681 2.655 0.123 0.698 1.471 2.114, in states/eV per atom.